1.
First-principles (PBE) data for a geometry-optimized Na2AcNdTe4 structure, as listed in the Alexandria database.

Cell: 8.024 4.669 8.094 Å, 90.00 109.61 90.00°
Fractional positions:
Na  0.000  0.000  0.000
Na  0.000  0.500  0.500
Ac  0.500  0.000  0.500
Nd  0.500  0.500  0.000
Te  0.253  0.500  0.241
Te  0.259  0.000  0.763
Te  0.741  0.000  0.237
Te  0.747  0.500  0.759

## Properties
- uncorrected formation energy (eV per atom) = -1.356
- space group = P2/m, No. 10

=====

2.
First-principles (PBE) data for a geometry-optimized Na2AcNd3Te6 structure, as listed in the Alexandria database.

Cell: 7.830 7.830 8.094 Å, 99.31 99.31 120.01°
Fractional positions:
Na  0.167  0.833  0.000
Na  0.833  0.167  0.000
Ac  0.500  0.500  0.000
Nd  0.000  0.000  0.500
Nd  0.335  0.665  0.500
Nd  0.665  0.335  0.500
Te  0.076  0.414  0.743
Te  0.246  0.246  0.256
Te  0.414  0.076  0.743
Te  0.586  0.924  0.257
Te  0.754  0.754  0.744
Te  0.924  0.586  0.257

## Properties
- uncorrected formation energy (eV per atom) = -1.385
- space group = C2/m, No. 12

=====

3.
First-principles (PBE) data for a geometry-optimized NaAcNdTe3 structure, as listed in the Alexandria database.

Cell: 9.262 4.549 10.177 Å, 90.00 105.84 90.00°
Fractional positions:
Na  0.096  0.250  0.090
Na  0.904  0.750  0.910
Ac  0.200  0.250  0.732
Ac  0.800  0.750  0.268
Nd  0.335  0.750  0.350
Nd  0.665  0.250  0.650
Te  0.092  0.250  0.381
Te  0.255  0.750  0.999
Te  0.438  0.750  0.675
Te  0.562  0.250  0.325
Te  0.745  0.250  0.001
Te  0.908  0.750  0.619

## Properties
- uncorrected formation energy (eV per atom) = -1.280
- space group = P2_1/m, No. 11

=====

4.
First-principles (PBE) data for a geometry-optimized NaAcNd2Tl4 structure, as listed in the Alexandria database.

Cell: 9.926 9.926 9.926 Å, 32.24 32.24 32.24°
Fractional positions:
Na  0.000  0.000  0.000
Ac  0.500  0.500  0.500
Nd  0.258  0.258  0.258
Nd  0.742  0.742  0.742
Tl  0.120  0.120  0.120
Tl  0.373  0.373  0.373
Tl  0.627  0.627  0.627
Tl  0.880  0.880  0.880

## Properties
- formation energy (eV/f.u.) = -2.4
- space group = R-3m, No. 166

=====

5.
First-principles (PBE) data for a geometry-optimized NaAcNdZn structure, as listed in the Alexandria database.

Cell: 5.591 5.591 5.591 Å, 60.00 60.00 60.00°
Fractional positions:
Na  0.000  0.000  0.000
Ac  0.250  0.250  0.250
Nd  0.750  0.750  0.750
Zn  0.500  0.500  0.500

## Properties
- formation energy (eV/f.u.) = 0.3
- space group = F-43m, No. 216

=====

6.
First-principles (PBE) data for a geometry-optimized NaAc3Ni structure, as listed in the Alexandria database.

Cell: 5.844 5.844 5.844 Å, 90.00 90.00 90.00°
Fractional positions:
Na  0.000  0.000  0.000
Ac  0.000  0.500  0.500
Ac  0.500  0.000  0.500
Ac  0.500  0.500  0.000
Ni  0.500  0.500  0.500

## Properties
- formation energy (eV/f.u.) = 0.0
- space group = Pm-3m, No. 221

=====

7.
First-principles (PBE) data for a geometry-optimized NaAc8Ni4 structure, as listed in the Alexandria database.

Cell: 10.647 10.647 10.647 Å, 92.47 92.47 156.02°
Fractional positions:
Na  0.000  0.000  0.000
Ac  0.043  0.660  0.703
Ac  0.311  0.648  0.959
Ac  0.340  0.043  0.383
Ac  0.352  0.311  0.663
Ac  0.648  0.689  0.337
Ac  0.660  0.957  0.617
Ac  0.689  0.352  0.041
Ac  0.957  0.340  0.297
Ni  0.154  0.323  0.478
Ni  0.323  0.846  0.169
Ni  0.677  0.154  0.831
Ni  0.846  0.677  0.522

## Properties
- formation energy (eV/f.u.) = -1.5
- space group = I4/m, No. 87

=====

8.
First-principles (PBE) data for a geometry-optimized NaAc4Ni2 structure, as listed in the Alexandria database.

Cell: 9.704 9.704 7.396 Å, 107.80 107.80 26.05°
Fractional positions:
Na  0.000  0.000  0.000
Ac  0.160  0.160  0.509
Ac  0.332  0.332  0.980
Ac  0.668  0.668  0.020
Ac  0.840  0.840  0.491
Ni  0.253  0.253  0.258
Ni  0.747  0.747  0.742

## Properties
- formation energy (eV/f.u.) = -0.2
- space group = C2/m, No. 12